[1]
First-principles (GGA-PBEsol) data for crystalline CaYMn2O6 at its relaxed geometry, as listed in Alexandria via LeMat-Bulk.

Output
raw formation energy: -2.525 eV/atom
total moment: 6.968 μB/f.u.
space-group type: Pmn2_1 (31)

a b c (Å): 5.232 5.410 7.452
angles (deg): 90.00 90.00 90.00
Sites, in units of the cell vectors:
O  0.699  0.550  0.797
O  0.199  0.450  0.703
O  0.199  0.450  0.297
O  0.595  0.271  0.500
O  0.421  0.225  0.000
O  0.921  0.775  0.500
O  0.291  0.961  0.707
O  0.095  0.729  0.000
O  0.791  0.039  0.793
O  0.699  0.550  0.203
O  0.291  0.961  0.293
O  0.791  0.039  0.207
Mn  0.501  0.254  0.750
Mn  0.001  0.746  0.250
Mn  0.001  0.746  0.750
Mn  0.501  0.254  0.250
Y  0.516  0.813  0.000
Y  0.016  0.187  0.500
Ca  0.489  0.699  0.500
Ca  0.989  0.301  0.000



[2]
First-principles (GGA-PBEsol) data for crystalline Ca3MnZnO6 at its relaxed geometry, as listed in Alexandria via LeMat-Bulk.

Output
raw formation energy: -2.430 eV/atom
total moment: 3.000 μB/f.u.
space-group type: R-3c (167)

a b c (Å): 6.306 6.306 6.306
angles (deg): 91.83 91.83 91.83
Sites, in units of the cell vectors:
Zn  0.750  0.750  0.750
Zn  0.250  0.250  0.250
O  0.917  0.713  0.047
O  0.787  0.583  0.453
O  0.083  0.287  0.953
O  0.287  0.953  0.083
O  0.047  0.917  0.713
O  0.583  0.453  0.787
O  0.713  0.047  0.917
O  0.547  0.213  0.417
O  0.453  0.787  0.583
O  0.417  0.547  0.213
O  0.953  0.083  0.287
O  0.213  0.417  0.547
Ca  0.613  0.887  0.250
Ca  0.113  0.750  0.387
Ca  0.887  0.250  0.613
Ca  0.250  0.613  0.887
Ca  0.750  0.387  0.113
Ca  0.387  0.113  0.750
Mn  0.500  0.500  0.500
Mn  0.000  0.000  0.000



[3]
First-principles (GGA-PBEsol) data for crystalline CaMnOs2 at its relaxed geometry, as listed in Alexandria via LeMat-Bulk.

Output
E above lowest polymorph: 29 meV/atom
total moment: 3.603 μB/f.u.
space-group type: P4mm (99)

a b c (Å): 2.825 2.825 8.426
angles (deg): 90.00 90.00 90.00
Sites, in units of the cell vectors:
Os  0.500  0.500  0.208
Os  0.000  0.000  0.010
Mn  0.500  0.500  0.798
Ca  0.000  0.000  0.483



[4]
First-principles (GGA-PBEsol) data for crystalline CaMnOs2 at its relaxed geometry, as listed in Alexandria via LeMat-Bulk.

Output
E above lowest polymorph: 0 meV/atom
total moment: 2.080 μB/f.u.
space-group type: P4/mmm (123)

a b c (Å): 2.816 2.816 7.815
angles (deg): 90.00 90.00 90.00
Sites, in units of the cell vectors:
Mn  0.500  0.500  0.500
Os  0.000  0.000  0.698
Os  0.000  0.000  0.302
Ca  0.500  0.500  0.000



[5]
First-principles (GGA-PBEsol) data for crystalline CaMn3Os at its relaxed geometry, as listed in Alexandria via LeMat-Bulk.

Output
energy: -6.3046 eV/atom
total moment: 10.182 μB/f.u.
space-group type: Pm-3m (221)

a b c (Å): 4.327 4.327 4.327
angles (deg): 90.00 90.00 90.00
Sites, in units of the cell vectors:
Mn  0.000  0.000  0.500
Mn  0.500  0.000  0.000
Mn  0.000  0.500  0.000
Os  0.500  0.500  0.500
Ca  0.000  0.000  0.000



[6]
First-principles (GGA-PBEsol) data for crystalline CaMn2P2 at its relaxed geometry, as listed in Alexandria via LeMat-Bulk.

Output
energy: -7.3233 eV/atom
total moment: 3.349 μB/f.u.
space-group type: P-3m1 (164)

a b c (Å): 3.728 3.728 6.688
angles (deg): 90.00 90.00 120.00
Sites, in units of the cell vectors:
P  0.667  0.333  0.216
P  0.333  0.667  0.784
Mn  0.667  0.333  0.883
Mn  0.333  0.667  0.117
Ca  0.000  0.000  0.500



[7]
First-principles (GGA-PBEsol) data for crystalline Ca6MnP5 at its relaxed geometry, as listed in Alexandria via LeMat-Bulk.

Output
energy: -5.2459 eV/atom
total moment: 2.074 μB/f.u.
space-group type: P6_3/mcm (193)

a b c (Å): 7.059 7.059 14.248
angles (deg): 90.00 90.00 120.00
Sites, in units of the cell vectors:
Ca  0.630  0.000  0.881
Ca  0.630  0.630  0.119
Ca  0.370  0.370  0.619
Ca  0.370  0.000  0.119
Ca  0.000  0.630  0.881
Ca  0.000  0.630  0.619
Ca  0.000  0.370  0.119
Ca  0.370  0.000  0.381
Ca  0.630  0.630  0.381
Ca  0.000  0.370  0.381
Ca  0.370  0.370  0.881
Ca  0.630  0.000  0.619
P  0.667  0.333  0.000
P  0.333  0.667  0.500
P  0.333  0.667  0.000
P  0.305  0.000  0.750
P  0.305  0.305  0.250
P  0.000  0.695  0.250
P  0.695  0.695  0.750
P  0.000  0.305  0.750
P  0.667  0.333  0.500
P  0.695  0.000  0.250
Mn  0.000  0.000  0.250
Mn  0.000  0.000  0.750



[8]
First-principles (GGA-PBEsol) data for crystalline CaMnP2W at its relaxed geometry, as listed in Alexandria via LeMat-Bulk.

Output
energy: -5.1785 eV/atom
total moment: 2.369 μB/f.u.
space-group type: P4/mmm (123)

a b c (Å): 4.866 4.866 4.821
angles (deg): 90.00 90.00 90.00
Sites, in units of the cell vectors:
P  0.000  0.500  0.000
P  0.500  0.000  0.000
Mn  0.500  0.500  0.500
Ca  0.000  0.000  0.000
W  0.000  0.000  0.500



[9]
First-principles (GGA-PBEsol) data for crystalline Ca2MnZnP at its relaxed geometry, as listed in Alexandria via LeMat-Bulk.

Output
energy: -4.1178 eV/atom
total moment: 4.325 μB/f.u.
space-group type: P4/mmm (123)

a b c (Å): 4.514 5.394 5.394
angles (deg): 90.00 90.00 90.00
Sites, in units of the cell vectors:
Ca  0.000  0.000  0.500
Ca  0.000  0.500  0.000
Mn  0.500  0.500  0.500
Zn  0.500  0.000  0.000
P  0.000  0.000  0.000



[10]
First-principles (GGA-PBEsol) data for crystalline Ca2MnPb at its relaxed geometry, as listed in Alexandria via LeMat-Bulk.

Output
energy: -4.3751 eV/atom
total moment: 3.986 μB/f.u.
space-group type: I-4m2 (119)

a b c (Å): 4.667 4.667 5.771
angles (deg): 113.85 113.85 90.00
Sites, in units of the cell vectors:
Pb  0.250  0.750  0.500
Mn  0.500  0.500  0.000
Ca  0.000  0.000  0.000
Ca  0.750  0.250  0.500



[11]
First-principles (GGA-PBEsol) data for crystalline CaMnPb3 at its relaxed geometry, as listed in Alexandria via LeMat-Bulk.

Output
energy: -3.6788 eV/atom
total moment: 4.554 μB/f.u.
space-group type: Pm-3m (221)

a b c (Å): 5.686 5.686 5.686
angles (deg): 90.00 90.00 90.00
Sites, in units of the cell vectors:
Ca  0.000  0.000  0.000
Mn  0.500  0.500  0.500
Pb  0.000  0.000  0.500
Pb  0.000  0.500  0.000
Pb  0.500  0.000  0.000



[12]
First-principles (GGA-PBEsol) data for crystalline Ca2MnPb at its relaxed geometry, as listed in Alexandria via LeMat-Bulk.

Output
energy: -4.4449 eV/atom
total moment: 4.433 μB/f.u.
space-group type: Cmmm (65)

a b c (Å): 3.911 5.208 5.208
angles (deg): 90.07 90.00 90.00
Sites, in units of the cell vectors:
Mn  0.500  0.000  0.000
Ca  0.000  0.500  0.000
Ca  0.000  0.000  0.500
Pb  0.500  0.500  0.500